Record 1
! PrPuTeAu PBE optimized geometry; values from VASP
! Formation energy from raw total energies in eV per atom: -0.74
! DOS(E_F) in states/eV/atom: 2.612
! VASP energy in eV per atom: -7.1231
! Calculated density in g cm⁻³: 10.8
&SYSTEM
  ibrav = 0, nat = 4, ntyp = 4
/
ATOMIC_SPECIES
Pr 140.91 Pr.upf
Te 127.60 Te.upf
Au 196.97 Au.upf
Pu 244.00 Pu.upf
CELL_PARAMETERS angstrom
5.356 0.000 0.000
2.678 4.638 0.000
2.678 1.546 4.373
ATOMIC_POSITIONS angstrom
Pr 5.356 3.092 2.187
Te 2.678 1.546 1.093
Au 8.034 4.638 3.280
Pu 0.000 0.000 0.000

---

Record 2
! PrPuTlAu PBE optimized geometry; values from VASP
! Calculated formation energy in eV per atom: -0.308
! DOS(E_F) in states/eV/atom: 3.019
! VASP energy in eV per atom: -6.4971
! Calculated density in g cm⁻³: 11.9
&SYSTEM
  ibrav = 0, nat = 4, ntyp = 4
/
ATOMIC_SPECIES
Pr 140.91 Pr.upf
Tl 204.38 Tl.upf
Au 196.97 Au.upf
Pu 244.00 Pu.upf
CELL_PARAMETERS angstrom
-0.957 0.501 5.265
-2.096 -4.112 2.753
3.022 -2.678 3.547
ATOMIC_POSITIONS angstrom
Pr -0.023 -4.717 8.674
Tl -0.016 -3.145 5.783
Au 0.000 0.000 0.000
Pu -0.008 -1.572 2.891

---

Record 3
! PrPuZnAu PBE optimized geometry; values from VASP
! Calculated formation energy in eV per atom: -0.318
! DOS(E_F) in states/eV/atom: 2.882
! VASP energy in eV per atom: -6.2338
! Calculated density in g cm⁻³: 10.7
&SYSTEM
  ibrav = 0, nat = 4, ntyp = 4
/
ATOMIC_SPECIES
Pr 140.91 Pr.upf
Zn 65.41 Zn.upf
Au 196.97 Au.upf
Pu 244.00 Pu.upf
CELL_PARAMETERS angstrom
5.211 0.000 0.000
2.605 4.513 0.000
2.605 1.504 4.255
ATOMIC_POSITIONS angstrom
Pr 2.605 1.504 1.064
Zn 0.000 0.000 0.000
Au 5.211 3.008 2.127
Pu 7.816 4.513 3.191

---

Record 4
! RbPrAu PBE optimized geometry; values from VASP
! Calculated formation energy in eV per atom: -0.353
! DOS(E_F) in states/eV/atom: 0.892
! VASP energy in eV per atom: -3.3612
! Calculated density in g cm⁻³: 5.2
&SYSTEM
  ibrav = 0, nat = 6, ntyp = 3
/
ATOMIC_SPECIES
Rb 85.47 Rb.upf
Pr 140.91 Pr.upf
Au 196.97 Au.upf
CELL_PARAMETERS angstrom
-2.527 1.987 -2.873
-0.078 -3.578 -2.404
-9.156 -2.977 12.502
ATOMIC_POSITIONS angstrom
Rb -8.242 -3.346 3.343
Rb -3.519 -1.222 3.882
Pr -9.973 -3.729 7.845
Pr -1.788 -0.839 -0.619
Au -8.454 -2.850 10.350
Au -3.306 -1.718 -3.124

---

Record 5
! RbPrAu2 PBE optimized geometry; values from VASP
! Calculated formation energy in eV per atom: -0.533
! DOS(E_F) in states/eV/atom: 0.502
! VASP energy in eV per atom: -3.6088
! Polymorph energy (0 for the lowest one) in eV per atom: 0.000
! Calculated density in g cm⁻³: 8.2
&SYSTEM
  ibrav = 0, nat = 4, ntyp = 3
/
ATOMIC_SPECIES
Pr 140.91 Pr.upf
Au 196.97 Au.upf
Rb 85.47 Rb.upf
CELL_PARAMETERS angstrom
-2.045 -1.736 -2.814
0.187 -3.364 1.939
-7.099 1.904 3.986
ATOMIC_POSITIONS angstrom
Pr -0.929 -2.550 -0.437
Au -5.808 1.558 3.262
Au -1.290 0.346 0.724
Rb -4.479 -1.598 1.556

---

Record 6
! RbPrAu10 PBE optimized geometry; values from VASP
! Calculated formation energy in eV per atom: -0.286
! DOS(E_F) in states/eV/atom: 0.473
! VASP energy in eV per atom: -3.4964
! Calculated density in g cm⁻³: 13.7
&SYSTEM
  ibrav = 0, nat = 12, ntyp = 3
/
ATOMIC_SPECIES
Rb 85.47 Rb.upf
Pr 140.91 Pr.upf
Au 196.97 Au.upf
CELL_PARAMETERS angstrom
-0.045 4.116 -2.176
-5.701 -0.060 0.005
-0.041 4.686 8.868
ATOMIC_POSITIONS angstrom
Rb 0.000 0.000 0.000
Pr -2.871 2.313 4.437
Au -0.014 1.596 3.020
Au -2.884 3.816 7.280
Au -2.858 0.811 1.593
Au -0.027 3.090 5.848
Au -0.043 4.401 3.346
Au -2.873 2.028 -1.085
Au -1.492 3.259 1.215
Au -4.296 5.484 5.483
Au -4.276 3.230 1.218
Au -1.511 5.513 5.480

---

Record 7
! RbPrAu2 PBE optimized geometry; values from VASP
! Calculated formation energy in eV per atom: -0.354
! DOS(E_F) in states/eV/atom: 0.871
! VASP energy in eV per atom: -3.4291
! Polymorph energy (0 for the lowest one) in eV per atom: 0.180
! Calculated density in g cm⁻³: 9.0
&SYSTEM
  ibrav = 0, nat = 4, ntyp = 3
/
ATOMIC_SPECIES
Pr 140.91 Pr.upf
Au 196.97 Au.upf
Rb 85.47 Rb.upf
CELL_PARAMETERS angstrom
-2.420 -2.577 0.589
3.887 -3.025 2.739
-1.472 2.489 4.838
ATOMIC_POSITIONS angstrom
Pr -1.210 -1.288 0.295
Au -0.736 1.244 2.419
Au 1.944 -1.513 1.369
Rb -0.003 -1.557 4.083

---

Record 8
! RbPr2AuS4 PBE optimized geometry; values from VASP
! Formation energy from raw total energies in eV per atom: -1.54
! VASP energy in eV per atom: -5.3245
! Calculated density in g cm⁻³: 5.3
&SYSTEM
  ibrav = 0, nat = 16, ntyp = 4
/
ATOMIC_SPECIES
Rb 85.47 Rb.upf
Pr 140.91 Pr.upf
Au 196.97 Au.upf
S 32.06 S.upf
CELL_PARAMETERS angstrom
4.190 0.000 0.000
-2.095 7.117 0.000
0.000 0.000 14.495
ATOMIC_POSITIONS angstrom
Rb 0.000 1.647 10.871
Rb 2.095 5.470 3.624
Pr 0.000 5.232 8.193
Pr 2.095 1.884 0.945
Pr 2.095 1.884 6.302
Pr 0.000 5.232 13.550
Au 2.095 4.882 10.871
Au 0.000 2.235 3.624
S 0.000 3.726 1.534
S 2.095 3.391 8.782
S 2.095 3.391 12.960
S 0.000 3.726 5.713
S 0.000 0.000 7.247
S 0.000 0.000 0.000
S 0.000 6.279 10.871
S 2.095 0.838 3.624

---

Record 9
! Rb2PrSb4Au3 PBE optimized geometry; values from VASP
! Formation energy from raw total energies in eV per atom: -0.45
! DOS(E_F) in states/eV/atom: 0.259
! VASP energy in eV per atom: -3.7514
! Calculated density in g cm⁻³: 7.7
&SYSTEM
  ibrav = 0, nat = 10, ntyp = 4
/
ATOMIC_SPECIES
Rb 85.47 Rb.upf
Pr 140.91 Pr.upf
Sb 121.76 Sb.upf
Au 196.97 Au.upf
CELL_PARAMETERS angstrom
4.939 0.000 0.000
0.000 4.939 0.000
0.000 0.000 12.316
ATOMIC_POSITIONS angstrom
Rb 2.470 0.000 2.954
Rb 0.000 2.470 9.362
Pr 2.470 2.470 6.158
Sb 2.470 2.470 0.000
Sb 0.000 0.000 0.000
Sb 2.470 0.000 7.995
Sb 0.000 2.470 4.321
Au 0.000 0.000 6.158
Au 2.470 0.000 10.847
Au 0.000 2.470 1.469

---

Record 10
! RbPrSb2Au2 PBE optimized geometry; values from VASP
! Formation energy from raw total energies in eV per atom: -0.72
! DOS(E_F) in states/eV/atom: 0.290
! VASP energy in eV per atom: -4.1459
! Calculated density in g cm⁻³: 7.7
&SYSTEM
  ibrav = 0, nat = 6, ntyp = 4
/
ATOMIC_SPECIES
Rb 85.47 Rb.upf
Pr 140.91 Pr.upf
Sb 121.76 Sb.upf
Au 196.97 Au.upf
CELL_PARAMETERS angstrom
-2.148 -2.886 -3.058
4.705 -0.059 0.396
-0.662 -6.775 6.860
ATOMIC_POSITIONS angstrom
Rb 0.000 0.000 0.000
Pr -0.331 -3.388 3.430
Sb -0.049 -3.837 0.010
Sb 1.943 -5.884 4.189
Au -0.319 -6.597 2.806
Au 2.213 -3.123 1.393

---

Record 11
! RbPr2AuSe4 PBE optimized geometry; values from VASP
! Formation energy from raw total energies in eV per atom: -1.46
! VASP energy in eV per atom: -4.9239
! Calculated density in g cm⁻³: 6.1
&SYSTEM
  ibrav = 0, nat = 16, ntyp = 4
/
ATOMIC_SPECIES
Rb 85.47 Rb.upf
Pr 140.91 Pr.upf
Au 196.97 Au.upf
Se 78.96 Se.upf
CELL_PARAMETERS angstrom
4.332 0.000 0.000
-2.166 7.384 0.000
0.000 0.000 15.063
ATOMIC_POSITIONS angstrom
Rb 0.000 1.768 11.298
Rb 2.166 5.617 3.766
Pr 0.000 5.432 8.548
Pr 2.166 1.952 1.017
Pr 2.166 1.952 6.515
Pr 0.000 5.432 14.047
Au 2.166 5.100 11.298
Au 0.000 2.284 3.766
Se 0.000 3.896 1.618
Se 2.166 3.489 9.149
Se 2.166 3.489 13.446
Se 0.000 3.896 5.914
Se 0.000 0.000 7.532
Se 0.000 0.000 0.000
Se 0.000 6.590 11.298
Se 2.166 0.794 3.766

---

Record 12
! RbPrTe2Au PBE optimized geometry; values from VASP
! Formation energy from raw total energies in eV per atom: -0.90
! DOS(E_F) in states/eV/atom: 0.512
! VASP energy in eV per atom: -3.9617
! Calculated density in g cm⁻³: 5.8
&SYSTEM
  ibrav = 0, nat = 10, ntyp = 4
/
ATOMIC_SPECIES
Rb 85.47 Rb.upf
Pr 140.91 Pr.upf
Te 127.60 Te.upf
Au 196.97 Au.upf
CELL_PARAMETERS angstrom
-0.670 2.637 -4.207
6.340 -4.852 -4.052
-6.880 -4.942 -2.002
ATOMIC_POSITIONS angstrom
Rb -2.107 -5.672 -4.262
Rb 0.897 -1.484 -6.000
Pr -2.051 0.068 -2.580
Pr -5.499 -2.373 -3.629
Te -2.308 -6.636 -7.873
Te -2.589 -2.022 -4.935
Te 1.378 -5.135 -5.326
Te 1.098 -0.520 -2.388
Au 0.000 0.000 0.000
Au -3.440 -2.471 -1.001

---

Record 13
! RbPr2Te4Au PBE optimized geometry; values from VASP
! Formation energy from raw total energies in eV per atom: -1.17
! VASP energy in eV per atom: -4.4676
! Calculated density in g cm⁻³: 6.2
&SYSTEM
  ibrav = 0, nat = 16, ntyp = 4
/
ATOMIC_SPECIES
Rb 85.47 Rb.upf
Pr 140.91 Pr.upf
Te 127.60 Te.upf
Au 196.97 Au.upf
CELL_PARAMETERS angstrom
-3.472 2.729 -1.167
-3.156 -5.750 4.883
2.955 9.221 12.767
ATOMIC_POSITIONS angstrom
Rb 1.029 5.852 10.618
Rb -4.703 0.348 5.865
Pr -1.913 2.025 10.423
Pr -2.830 0.837 1.438
Pr -1.761 4.175 6.060
Pr -0.843 5.363 15.045
Te -2.279 -1.318 3.698
Te -2.220 4.942 9.219
Te -1.395 7.518 12.785
Te -1.454 1.258 7.264
Te 1.477 4.611 6.384
Te 0.000 0.000 0.000
Te -2.158 2.995 13.420
Te -1.515 3.205 3.063
Au -2.904 5.247 11.966
Au -0.769 0.954 4.517

---

Record 14
! Pr4RhAu PBE optimized geometry; values from VASP
! Calculated formation energy in eV per atom: -0.473
! DOS(E_F) in states/eV/atom: 1.153
! VASP energy in eV per atom: -5.4312
! Polymorph energy (0 for the lowest one) in eV per atom: 0.000
! Calculated density in g cm⁻³: 8.2
&SYSTEM
  ibrav = 0, nat = 12, ntyp = 3
/
ATOMIC_SPECIES
Pr 140.91 Pr.upf
Rh 102.91 Rh.upf
Au 196.97 Au.upf
CELL_PARAMETERS angstrom
-5.130 -3.183 -1.874
6.227 -4.418 -2.761
-0.476 0.147 8.326
ATOMIC_POSITIONS angstrom
Pr 0.799 -0.924 6.545
Pr 0.019 -5.451 1.862
Pr 1.891 -3.802 4.782
Pr 3.733 -5.155 1.998
Pr -3.113 -2.300 1.692
Pr -1.271 -3.652 -1.092
Pr 0.601 -2.003 1.828
Pr -0.179 -6.530 -2.855
Rh 4.467 -5.044 5.059
Rh -3.847 -2.410 -1.369
Au 1.849 -3.906 -0.368
Au -1.228 -3.548 4.057

---

Record 15
! Pr6Rh3Au PBE optimized geometry; values from VASP
! Calculated formation energy in eV per atom: -0.498
! DOS(E_F) in states/eV/atom: 0.864
! VASP energy in eV per atom: -5.8989
! Calculated density in g cm⁻³: 7.6
&SYSTEM
  ibrav = 0, nat = 20, ntyp = 3
/
ATOMIC_SPECIES
Pr 140.91 Pr.upf
Rh 102.91 Rh.upf
Au 196.97 Au.upf
CELL_PARAMETERS angstrom
-0.806 -6.994 -2.218
1.483 -2.872 8.518
-9.015 1.205 -0.523
ATOMIC_POSITIONS angstrom
Pr -4.855 -2.367 5.279
Pr -5.903 -5.613 3.615
Pr -7.584 -1.754 2.908
Pr -3.339 -7.056 5.803
Pr -9.087 -0.820 -1.012
Pr -7.103 -4.064 0.180
Pr -1.025 -2.771 6.176
Pr 0.698 -8.273 6.653
Pr -4.950 -1.171 0.112
Pr -0.704 -6.473 3.007
Pr -2.292 -1.800 2.559
Pr -3.340 -5.046 0.894
Rh -5.313 -5.097 6.487
Rh -8.097 -7.670 3.328
Rh -5.120 -3.137 2.243
Rh -3.441 -7.442 2.927
Rh -3.379 -6.626 -1.680
Rh -0.595 -4.053 1.479
Au -7.286 0.531 0.966
Au -0.650 -5.699 5.919

---

Record 16
! PrRhAu PBE optimized geometry; values from VASP
! Calculated formation energy in eV per atom: -0.567
! DOS(E_F) in states/eV/atom: 0.585
! VASP energy in eV per atom: -5.7029
! Polymorph energy (0 for the lowest one) in eV per atom: 0.000
! Calculated density in g cm⁻³: 10.5
&SYSTEM
  ibrav = 0, nat = 6, ntyp = 3
/
ATOMIC_SPECIES
Pr 140.91 Pr.upf
Rh 102.91 Rh.upf
Au 196.97 Au.upf
CELL_PARAMETERS angstrom
4.692 0.000 0.000
-2.346 4.052 -0.300
0.000 -2.166 7.496
ATOMIC_POSITIONS angstrom
Pr 2.346 1.468 1.548
Pr 0.000 0.418 5.647
Rh 0.000 0.210 2.886
Rh 2.346 1.676 4.309
Au 2.346 -1.083 3.748
Au 0.000 0.000 0.000

---

Record 17
! Pr12RhAu6 PBE optimized geometry; values from VASP
! Calculated formation energy in eV per atom: -0.442
! DOS(E_F) in states/eV/atom: 1.262
! VASP energy in eV per atom: -4.8821
! Calculated density in g cm⁻³: 7.9
&SYSTEM
  ibrav = 0, nat = 19, ntyp = 3
/
ATOMIC_SPECIES
Pr 140.91 Pr.upf
Rh 102.91 Rh.upf
Au 196.97 Au.upf
CELL_PARAMETERS angstrom
-7.509 -3.633 2.366
4.576 -1.721 7.161
-1.980 8.270 1.693
ATOMIC_POSITIONS angstrom
Pr -4.337 -0.443 6.762
Pr -0.591 1.806 7.818
Pr -3.987 3.929 5.779
Pr -0.576 3.359 4.457
Pr -4.322 1.111 3.401
Pr -0.926 -1.013 5.441
Pr 3.275 0.735 7.593
Pr 0.992 6.411 6.547
Pr -0.919 -3.776 8.358
Pr -8.188 2.181 3.627
Pr -5.905 -3.495 4.672
Pr -3.994 6.692 2.862
Rh 0.000 0.000 0.000
Au -1.979 -0.928 8.507
Au -3.562 -1.722 3.885
Au 1.283 0.972 5.306
Au -2.934 3.844 2.713
Au -1.351 4.639 7.335
Au -6.196 1.944 5.914

---

Record 18
! Pr4Rh2Au PBE optimized geometry; values from VASP
! Calculated formation energy in eV per atom: -0.616
! DOS(E_F) in states/eV/atom: 0.733
! VASP energy in eV per atom: -5.9154
! Polymorph energy (0 for the lowest one) in eV per atom: 0.000
! Calculated density in g cm⁻³: 8.6
&SYSTEM
  ibrav = 0, nat = 14, ntyp = 3
/
ATOMIC_SPECIES
Pr 140.91 Pr.upf
Rh 102.91 Rh.upf
Au 196.97 Au.upf
CELL_PARAMETERS angstrom
7.384 0.000 -2.713
-3.645 6.477 -2.576
-0.094 0.000 7.866
ATOMIC_POSITIONS angstrom
Pr -2.202 5.685 0.402
Pr 1.736 4.878 0.257
Pr -2.249 4.031 4.335
Pr 0.775 1.640 5.484
Pr 1.689 4.838 4.190
Pr 4.467 1.599 4.127
Pr 3.289 0.792 0.367
Pr -0.403 2.447 1.723
Rh 5.978 0.776 1.210
Rh 2.286 2.463 2.566
Rh -0.510 5.701 2.655
Rh -0.463 4.015 -1.278
Au 0.000 0.000 0.000
Au 3.692 3.239 -1.357

---

Record 19
! PrRhAu PBE optimized geometry; values from VASP
! Calculated formation energy in eV per atom: -0.466
! DOS(E_F) in states/eV/atom: 0.745
! VASP energy in eV per atom: -5.6020
! Polymorph energy (0 for the lowest one) in eV per atom: 0.101
! Calculated density in g cm⁻³: 11.4
&SYSTEM
  ibrav = 0, nat = 3, ntyp = 3
/
ATOMIC_SPECIES
Pr 140.91 Pr.upf
Au 196.97 Au.upf
Rh 102.91 Rh.upf
CELL_PARAMETERS angstrom
3.690 0.000 0.000
0.000 3.690 0.000
-1.845 -1.845 4.728
ATOMIC_POSITIONS angstrom
Pr 1.845 1.845 4.309
Au 0.000 0.000 2.595
Rh 1.845 1.845 1.134

---

Record 20
! Pr8Rh5Au PBE optimized geometry; values from VASP
! Calculated formation energy in eV per atom: -0.620
! DOS(E_F) in states/eV/atom: 0.281
! VASP energy in eV per atom: -6.2105
! Calculated density in g cm⁻³: 8.3
&SYSTEM
  ibrav = 0, nat = 14, ntyp = 3
/
ATOMIC_SPECIES
Pr 140.91 Pr.upf
Rh 102.91 Rh.upf
Au 196.97 Au.upf
CELL_PARAMETERS angstrom
7.357 0.000 -2.608
-3.634 6.401 -2.599
-0.090 0.000 7.805
ATOMIC_POSITIONS angstrom
Pr -1.977 4.829 5.522
Pr -0.479 0.760 5.594
Pr 4.468 1.592 0.347
Pr 3.221 2.316 4.260
Pr 1.439 4.085 -0.928
Pr 1.415 5.641 2.945
Pr 0.862 1.573 1.551
Pr -1.861 4.810 1.517
Rh -1.342 2.415 -0.044
Rh 3.227 5.657 -2.593
Rh 3.158 3.986 1.343
Rh 3.634 0.000 2.599
Rh 2.223 0.744 6.491
Au -0.045 3.201 3.903